Compound: Sm7YEr12
Source: the Alexandria database
Functional: PBE-GGA
Structure: optimized geometry

abc: 9.707 9.707 9.707
angles: 109.47 109.47 109.47
Fractional positions:
Sm (0.000, 0.000, 0.500)
Sm (0.000, 0.500, 0.000)
Sm (0.000, 0.500, 0.500)
Sm (0.500, 0.000, 0.000)
Sm (0.500, 0.000, 0.500)
Sm (0.500, 0.500, 0.000)
Sm (0.500, 0.500, 0.500)
Y (0.000, 0.000, 0.000)
Er (0.000, 0.249, 0.751)
Er (0.000, 0.751, 0.249)
Er (0.249, 0.000, 0.751)
Er (0.249, 0.249, 0.498)
Er (0.249, 0.498, 0.249)
Er (0.249, 0.751, 0.000)
Er (0.498, 0.249, 0.249)
Er (0.502, 0.751, 0.751)
Er (0.751, 0.000, 0.249)
Er (0.751, 0.249, 0.000)
Er (0.751, 0.502, 0.751)
Er (0.751, 0.751, 0.502)

formation enthalpy at 0 K = 676 meV per atom
distance to the lowest polymorph of the same formula = 0.440 eV per atom
uncorrected energy = -4.037 eV/atom